# 1
Compound: NiSbPt4
Source: Alexandria via LeMat-Bulk
Functional: PBE
Structure: optimized geometry

Lattice parameters (Å, degrees): 5.577 7.821 4.816 90.00 113.06 90.00
Space group P2_1/c (No. 14)
Symmetry-distinct sites (fractional):
Ni1 0.000 0.000 0.000 x2
Sb1 0.500 0.000 0.000 x2
Pt1 0.122 0.162 0.546 x4
Pt2 0.360 0.659 0.937 x4

D(E_F)	12.22	states/eV/cell
total DFT energy (no corrections)	-69.2	eV/cell
total moment	0.18	μB per formula unit
V	193.3	Å³/cell
formation energy from raw total energies	-8.9	kJ per mole of atoms
energy relative to the lowest polymorph listed for this composition	0	meV/atom



# 2
Compound: TlBi2HAu
Source: Alexandria via LeMat-Bulk
Functional: PBE
Structure: optimized geometry

Lattice parameters (Å, degrees): 5.929 5.929 3.482 90.00 90.00 90.00
Space group P4/mmm (No. 123)
Symmetry-distinct sites (fractional):
Tl1 0.000 0.000 0.000 x1
Bi1 0.000 0.500 0.500 x2
H1 0.500 0.500 0.000 x1
Au1 0.500 0.500 0.500 x1

D(E_F)	3.29	states/eV/cell
total DFT energy (no corrections)	-16.2	eV/cell
total moment	0.00	μB per formula unit
V	122.4	Å³/cell



# 3
Compound: CdGaCu2
Source: Alexandria via LeMat-Bulk
Functional: PBE
Structure: optimized geometry

Lattice parameters (Å, degrees): 4.1710 4.1710 13.3921 90.00 90.00 120.00
Space group R3m (No. 160, hexagonal axes)
Symmetry-distinct sites (fractional):
Cd1 0.0000 0.0000 0.0000 x3
Ga1 0.0000 0.0000 0.1994 x3
Cu1 0.0000 0.0000 0.5617 x3
Cu2 0.0000 0.0000 0.7905 x3

D(E_F)	4.26	states/eV/cell
total DFT energy (no corrections)	-35.3	eV/cell
total moment	0.00	μB per formula unit
V	201.8	Å³/cell
energy of formation	0.092	eV/atom